Record 1
Compound: TbSbH2
Source: Alexandria via LeMat-Bulk
Functional: GGA-PBE
Structure: relaxed

abc: 5.9474 5.9474 5.9474
angles: 35.36 35.36 35.36
Last column: nearest neighbours and their distance in Å.
Sites, in units of the cell vectors:
Tb1 0.0000 0.0000 0.0000  6 H 2.15
Sb1 0.5000 0.5000 0.5000  8 H 3.08-3.30
H1 0.3026 0.3026 0.3026  3 Tb 2.15, 3 H 2.33
H2 0.6974 0.6974 0.6974  3 Tb 2.15, 3 H 2.33

Record 2
Compound: TbSbH
Source: Alexandria via LeMat-Bulk
Functional: GGA-PBE
Structure: relaxed

Summary:
polymorph energy (0 for the lowest one) = 223 meV per atom

abc: 6.1612 6.1612 6.2901
angles: 90.41 90.41 34.00
Last column: nearest neighbours and their distance in Å.
Sites, in units of the cell vectors:
Tb1 0.1403 0.1403 0.2557  2 H 2.05
Tb2 0.8597 0.8597 0.7443  2 H 2.05
Sb1 0.1290 0.1290 0.7506  4 H 3.05-3.22, 5 Tb 3.12-3.26
Sb2 0.8710 0.8710 0.2494  4 H 3.05-3.22, 5 Tb 3.12-3.26
H1 0.4258 0.4258 0.8390  2 Tb 2.05
H2 0.5742 0.5742 0.1610  2 Tb 2.05

Record 3
Compound: Tb4Sb2H
Source: Alexandria via LeMat-Bulk
Functional: GGA-PBE
Structure: relaxed

Summary:
polymorph energy (0 for the lowest one) = 24 meV per atom

abc: 6.4010 6.3978 8.9482
angles: 90.00 108.01 90.00
Last column: nearest neighbours and their distance in Å.
Sites, in units of the cell vectors:
Tb1 0.0305 0.0026 0.2977  1 H 2.21
Tb2 0.0305 0.4974 0.2977  1 H 2.21
Tb3 0.3556 0.7500 0.0595  1 H 2.21
Tb4 0.4328 0.7500 0.6507  1 H 2.21
Tb5 0.5672 0.2500 0.3493  1 H 2.21
Tb6 0.6444 0.2500 0.9405  1 H 2.21
Tb7 0.9695 0.5026 0.7023  1 H 2.21
Tb8 0.9695 0.9974 0.7023  1 H 2.21
Sb1 0.1977 0.2500 0.0302  9 Tb 3.09-3.38, 1 H 3.43
Sb2 0.3340 0.2500 0.6003  8 Tb 3.06-3.26
Sb3 0.6660 0.7500 0.3997  8 Tb 3.06-3.26
Sb4 0.8023 0.7500 0.9698  9 Tb 3.09-3.38, 1 H 3.43
H1 0.2152 0.7500 0.8002  4 Tb 2.21
H2 0.7848 0.2500 0.1998  4 Tb 2.21

Record 4
Compound: TbSbH
Source: Alexandria via LeMat-Bulk
Functional: GGA-PBE
Structure: relaxed

Summary:
polymorph energy (0 for the lowest one) = 0 meV per atom

abc: 3.7782 3.7782 4.7035
angles: 90.00 90.00 120.00
Last column: nearest neighbours and their distance in Å.
Sites, in units of the cell vectors:
Tb1 0.0000 0.0000 0.0000  3 H 2.18
Sb1 0.6667 0.3333 0.5000  6 Tb 3.21, 6 H 3.21
H1 0.3333 0.6667 0.0000  3 Tb 2.18

Record 5
Compound: Tb3Sb2H
Source: Alexandria via LeMat-Bulk
Functional: GGA-PBE
Structure: relaxed

abc: 7.1529 7.1529 8.5880
angles: 106.86 106.86 50.72
Last column: nearest neighbours and their distance in Å.
Sites, in units of the cell vectors:
Tb1 0.0687 0.9313 0.7500  1 H 2.29
Tb2 0.3401 0.3520 0.4177  2 H 2.83-2.93, 4 Sb 3.01-3.08
Tb3 0.3520 0.3401 0.9177  2 H 2.83-2.93, 4 Sb 3.01-3.08
Tb4 0.6480 0.6599 0.0823  2 H 2.83-2.93, 4 Sb 3.01-3.08
Tb5 0.6599 0.6480 0.5823  2 H 2.83-2.93, 4 Sb 3.01-3.08
Tb6 0.9313 0.0687 0.2500  1 H 2.29
Sb1 0.1677 0.1788 0.0843  6 Tb 3.01-3.08
Sb2 0.1788 0.1677 0.5843  6 Tb 3.01-3.08
Sb3 0.8212 0.8323 0.4157  6 Tb 3.01-3.08
Sb4 0.8323 0.8212 0.9157  6 Tb 3.01-3.08
H1 0.4428 0.5572 0.7500  1 Tb 2.29
H2 0.5572 0.4428 0.2500  1 Tb 2.29

Record 6
Compound: TbSbH
Source: Alexandria via LeMat-Bulk
Functional: GGA-PBE
Structure: relaxed

Summary:
polymorph energy (0 for the lowest one) = 105 meV per atom

abc: 5.8435 5.8435 5.8435
angles: 137.19 94.23 101.10
Last column: nearest neighbours and their distance in Å.
Sites, in units of the cell vectors:
Tb1 0.0000 0.0000 0.0000  2 H 2.44
Tb2 0.5149 0.0149 0.5000  4 H 2.48
Sb1 0.0946 0.3390 0.7557  3 H 2.93-2.94, 6 Tb 3.15-3.18
Sb2 0.5833 0.3390 0.2443  3 H 2.93-2.94, 6 Tb 3.15-3.18
H1 0.6241 0.6764 0.9477  1 H 0.83
H2 0.7287 0.6764 0.0523  1 H 0.83

Final energy list, top to bottom, in eV per cell: -17.26 -27.30 -71.06 -14.32 -59.37 -28.01